A plane-wave DFT calculation with PBE-GGA was carried out for Al5Re7 after structural relaxation.

Summary:
The value obtained for the total DFT energy (no corrections) is -209.06 eV per cell. The value obtained for the energy above the most stable polymorph in this dataset is 0.000 eV per atom. Its total moment is 0.3 μB per formula unit.

Unit cell a=5.1114 b=5.1114 c=16.7438 alpha=90.00 beta=90.00 gamma=120.00
Each line ends with the local moment (μB).
Sites, in units of the cell vectors:
1 Al 0.5000 0.0000 0.0000  0.00
2 Al 0.0000 0.5000 0.0000  0.00
3 Al 0.5000 0.5000 0.0000  0.00
4 Al 0.0000 0.0000 0.1053  0.00
5 Al 0.0000 0.0000 0.3947  0.00
6 Al 0.5000 0.0000 0.5000  0.00
7 Al 0.0000 0.5000 0.5000  0.00
8 Al 0.5000 0.5000 0.5000  0.00
9 Al 0.0000 0.0000 0.6053  0.00
10 Al 0.0000 0.0000 0.8947  0.00
11 Re 0.3333 0.6667 0.1179  0.01
12 Re 0.6667 0.3333 0.1729  0.13
13 Re 0.1632 0.3263 0.2500  0.00
14 Re 0.1632 0.8368 0.2500  0.00
15 Re 0.6737 0.8368 0.2500  0.01
16 Re 0.6667 0.3333 0.3271  0.13
17 Re 0.3333 0.6667 0.3821  0.01
18 Re 0.6667 0.3333 0.6179  0.01
19 Re 0.3333 0.6667 0.6729  0.13
20 Re 0.3263 0.1632 0.7500  0.01
21 Re 0.8368 0.1632 0.7500  0.00
22 Re 0.8368 0.6737 0.7500  0.00
23 Re 0.3333 0.6667 0.8271  0.13
24 Re 0.6667 0.3333 0.8821  0.01